Material: GaAg2F
Method: DFT, PBE
State: relaxed

## Properties
**Raw formation energy**: -10.50 kcal/mol of atoms
**Excess energy over the best structure of this formula in the dataset**: 0.000 eV per atom

a = 5.691 Å, b = 5.691 Å, c = 5.691 Å
α = 104.08°, β = 104.08°, γ = 120.90°
Atoms (fractional coordinates):
Ga (0.000, 0.000, 0.000)
Ga (0.750, 0.250, 0.500)
Ag (0.151, 0.125, 0.526)
Ag (0.375, 0.849, 0.974)
Ag (0.599, 0.625, 0.474)
Ag (0.875, 0.401, 0.026)
F (0.250, 0.750, 0.500)
F (0.500, 0.500, 0.000)



Material: Ga4AgF12
Method: DFT, PBE
State: relaxed

## Properties
**Raw formation energy**: -53.28 kcal/mol of atoms

a = 6.768 Å, b = 6.768 Å, c = 6.768 Å
α = 110.02°, β = 109.48°, γ = 108.92°
Atoms (fractional coordinates):
Ga (0.000, 0.000, 0.500)
Ga (0.000, 0.500, 0.000)
Ga (0.500, 0.000, 0.000)
Ga (0.500, 0.500, 0.500)
Ag (0.000, 0.000, 0.000)
F (0.017, 0.739, 0.278)
F (0.237, 0.234, 0.471)
F (0.237, 0.766, 0.003)
F (0.260, 0.041, 0.781)
F (0.260, 0.479, 0.219)
F (0.461, 0.739, 0.722)
F (0.539, 0.261, 0.278)
F (0.740, 0.521, 0.781)
F (0.740, 0.959, 0.219)
F (0.763, 0.234, 0.997)
F (0.763, 0.766, 0.529)
F (0.983, 0.261, 0.722)



Material: GaAg4F7
Method: DFT, PBE
State: relaxed

## Properties
**Raw formation energy**: -34.53 kcal/mol of atoms

a = 8.684 Å, b = 8.684 Å, c = 6.452 Å
α = 110.06°, β = 110.06°, γ = 25.72°
Atoms (fractional coordinates):
Ga (0.000, 0.000, 0.000)
Ag (0.291, 0.291, 0.751)
Ag (0.421, 0.421, 0.318)
Ag (0.579, 0.579, 0.682)
Ag (0.709, 0.709, 0.249)
F (0.018, 0.018, 0.308)
F (0.118, 0.118, 0.051)
F (0.296, 0.296, 0.364)
F (0.500, 0.500, 0.000)
F (0.704, 0.704, 0.636)
F (0.882, 0.882, 0.949)
F (0.982, 0.982, 0.692)



Material: GaAg3F8
Method: DFT, PBE
State: relaxed

## Properties
**Raw formation energy**: -32.94 kcal/mol of atoms
**Excess energy over the best structure of this formula in the dataset**: 0.165 eV per atom

a = 6.574 Å, b = 6.574 Å, c = 6.574 Å
α = 131.52°, β = 131.52°, γ = 71.00°
Atoms (fractional coordinates):
Ga (0.000, 0.000, 0.000)
Ag (0.250, 0.750, 0.500)
Ag (0.500, 0.500, 0.000)
Ag (0.750, 0.250, 0.500)
F (0.112, 0.112, 0.454)
F (0.112, 0.658, 0.000)
F (0.342, 0.342, 0.454)
F (0.342, 0.888, 0.000)
F (0.658, 0.112, 0.000)
F (0.658, 0.658, 0.546)
F (0.888, 0.342, 0.000)
F (0.888, 0.888, 0.546)